# TaV2Bi PBE-GGA optimized geometry
data_TaV2Bi
_cell_length_a 4.038
_cell_length_b 4.038
_cell_length_c 19.055
_cell_angle_alpha 90.00
_cell_angle_beta 90.00
_cell_angle_gamma 90.00
_symmetry_space_group_name_H-M 'I -4 2 d'
_symmetry_Int_Tables_number 122
_symmetry_space_group_name_Hall 'I -4 2bw'
loop_
_atom_site_label
_atom_site_type_symbol
_atom_site_fract_x
_atom_site_fract_y
_atom_site_fract_z
_atom_site_occupancy
Ta1 Ta 0.000 0.000 0.000 1
V1 V 0.241 0.250 0.125 1
Bi1 Bi 0.000 0.000 0.500 1
# - spin magnetization (μB per atom) = 0.00
# - DOS(E_F) (states/eV per atom) = 1.140
# - ΔE_f (eV/atom) = 0.91